Record 1
Below is a relaxed structure of OsRh2Cl, with properties calculated at the GGA-PBEsol level.

Results
As for the total magnetization: 0.00 μB per atom. The density of states at the Fermi level is 5.441 states/eV/cell. As for the symmetry: Fm-3m, No. 225. For the polymorph energy (0 for the lowest one), the calculation gives 1.44 eV/f.u.

abc: 4.330 4.330 4.330
angles: 60.00 60.00 60.00
Positions (direct):
Cl1 0.000 0.000 0.000
Os1 0.500 0.500 0.500
Rh1 0.750 0.750 0.750
Rh2 0.250 0.250 0.250



Record 2
Below is a relaxed structure of La2TeBr, with properties calculated at the GGA-PBEsol level.

Results
As for the total magnetization: 0.00 μB per atom. The density of states at the Fermi level is 2.647 states/eV/cell. As for the symmetry: P2/m, No. 10. For the polymorph energy (0 for the lowest one), the calculation gives 0.13 eV/f.u.

abc: 4.229 4.579 6.215
angles: 90.47 90.00 90.00
Positions (direct):
Te1 0.500 0.500 0.000
Br1 0.000 0.000 0.500
La1 0.000 0.000 0.000
La2 0.500 0.500 0.500



Record 3
Below is a relaxed structure of Zn2AgMo, with properties calculated at the GGA-PBEsol level.

Results
As for the total magnetization: 0.00 μB per atom. The calculated formation energy is 0.031 eV per atom. The density of states at the Fermi level is 1.235 states/eV/cell. As for the symmetry: P4/mmm, No. 123. For the polymorph energy (0 for the lowest one), the calculation gives 0.00 eV/f.u.

abc: 2.673 2.673 8.182
angles: 90.00 90.00 90.00
Positions (direct):
Mo1 0.500 0.500 0.500
Zn1 0.000 0.000 0.748
Zn2 0.000 0.000 0.252
Ag1 0.500 0.500 0.000



Record 4
Below is a relaxed structure of LaCuP2, with properties calculated at the GGA-PBEsol level.

Results
As for the total magnetization: 0.00 μB per atom. The calculated formation energy is -0.740 eV per atom. The density of states at the Fermi level is 1.769 states/eV/cell. As for the symmetry: P2/m, No. 10.

abc: 3.751 4.203 5.048
angles: 89.93 90.00 90.00
Positions (direct):
Cu1 0.500 0.000 0.500
La1 0.500 0.500 0.000
P1 0.000 0.999 0.225
P2 0.000 0.001 0.775



Record 5
Below is a relaxed structure of Mg2Cr3GaS8, with properties calculated at the GGA-PBEsol level.

Results
As for the total magnetization: 0.64 μB per atom. The density of states at the Fermi level is 0.742 states/eV/cell. As for the symmetry: R-3m, No. 166. The value obtained for the total energy is -84.9 eV for the cell shown.

abc: 7.148 7.148 7.163
angles: 60.07 60.07 60.00
Site moments in Bohr magnetons follow the coordinates.
Positions (direct):
Mg1 0.875 0.875 0.374  0.01
Mg2 0.125 0.125 0.626  0.01
Cr1 0.000 0.500 0.000  2.86
Cr2 0.500 0.500 0.000  2.86
Cr3 0.500 0.000 0.000  2.86
Ga1 0.500 0.500 0.500  0.08
S1 0.737 0.737 0.790  -0.07
S2 0.711 0.259 0.770  -0.04
S3 0.259 0.711 0.770  -0.04
S4 0.259 0.259 0.770  -0.04
S5 0.741 0.289 0.230  -0.04
S6 0.741 0.741 0.230  -0.04
S7 0.263 0.263 0.210  -0.07
S8 0.289 0.741 0.230  -0.04



Record 6
Below is a relaxed structure of Ca3Ti2Ge3O12, with properties calculated at the GGA-PBEsol level.

Results
As for the total magnetization: 0.09 μB per atom. The density of states at the Fermi level is 28.417 states/eV/cell. As for the symmetry: Ia-3d, No. 230. The value obtained for the total energy is -605.4 eV for the cell shown.

abc: 10.736 10.736 10.736
angles: 109.47 109.47 109.47
Site moments in Bohr magnetons follow the coordinates.
Positions (direct):
Ca1 0.750 0.375 0.625  0.00
Ca2 0.250 0.125 0.875  0.00
Ca3 0.375 0.125 0.250  0.00
Ca4 0.125 0.375 0.750  0.00
Ca5 0.375 0.250 0.625  0.00
Ca6 0.125 0.750 0.875  0.00
Ca7 0.250 0.625 0.375  0.00
Ca8 0.750 0.875 0.125  0.00
Ca9 0.625 0.875 0.750  0.00
Ca10 0.875 0.625 0.250  0.00
Ca11 0.625 0.750 0.375  0.00
Ca12 0.875 0.250 0.125  0.00
Ti1 0.500 0.000 0.000  0.73
Ti2 0.500 0.000 0.500  0.73
Ti3 0.000 0.500 0.500  0.73
Ti4 0.500 0.500 0.000  0.73
Ti5 0.000 0.500 0.000  0.73
Ti6 0.000 0.000 0.500  0.73
Ti7 0.500 0.500 0.500  0.73
Ti8 0.000 0.000 0.000  0.73
Ge1 0.875 0.750 0.625  0.04
Ge2 0.125 0.250 0.375  0.04
Ge3 0.375 0.625 0.750  0.04
Ge4 0.250 0.375 0.125  0.04
Ge5 0.125 0.875 0.250  0.04
Ge6 0.750 0.125 0.375  0.04
Ge7 0.250 0.875 0.625  0.04
Ge8 0.750 0.625 0.875  0.04
Ge9 0.875 0.125 0.750  0.04
Ge10 0.625 0.375 0.250  0.04
Ge11 0.375 0.750 0.125  0.04
Ge12 0.625 0.250 0.875  0.04
O1 0.584 0.382 0.399  0.00
O2 0.118 0.202 0.518  0.00
O3 0.899 0.584 0.882  0.00
O4 0.482 0.185 0.101  0.00
O5 0.315 0.018 0.399  0.00
O6 0.382 0.899 0.084  0.00
O7 0.382 0.482 0.798  0.00
O8 0.298 0.916 0.815  0.00
O9 0.185 0.584 0.702  0.00
O10 0.018 0.899 0.815  0.00
O11 0.202 0.185 0.084  0.00
O12 0.298 0.382 0.982  0.00
O13 0.584 0.202 0.685  0.00
O14 0.601 0.118 0.416  0.00
O15 0.916 0.601 0.618  0.00
O16 0.899 0.315 0.518  0.00
O17 0.482 0.298 0.882  0.00
O18 0.916 0.315 0.798  0.00
O19 0.018 0.118 0.702  0.00
O20 0.815 0.416 0.298  0.00
O21 0.315 0.298 0.416  0.00
O22 0.202 0.018 0.618  0.00
O23 0.601 0.482 0.685  0.00
O24 0.118 0.916 0.101  0.00
O25 0.416 0.618 0.601  0.00
O26 0.882 0.798 0.482  0.00
O27 0.101 0.416 0.118  0.00
O28 0.518 0.815 0.899  0.00
O29 0.685 0.982 0.601  0.00
O30 0.618 0.101 0.916  0.00
O31 0.618 0.518 0.202  0.00
O32 0.702 0.084 0.185  0.00
O33 0.882 0.084 0.899  0.00
O34 0.399 0.518 0.315  0.00
O35 0.798 0.982 0.382  0.00
O36 0.815 0.399 0.018  0.00
O37 0.685 0.702 0.584  0.00
O38 0.982 0.882 0.298  0.00
O39 0.084 0.685 0.202  0.00
O40 0.518 0.702 0.118  0.00
O41 0.101 0.685 0.482  0.00
O42 0.084 0.399 0.382  0.00
O43 0.399 0.882 0.584  0.00
O44 0.416 0.798 0.315  0.00
O45 0.702 0.618 0.018  0.00
O46 0.798 0.815 0.916  0.00
O47 0.982 0.101 0.185  0.00
O48 0.185 0.601 0.982  0.00



Record 7
Below is a relaxed structure of KTeS2N, with properties calculated at the GGA-PBEsol level.

Results
As for the total magnetization: 0.22 μB per atom. The density of states at the Fermi level is 3.647 states/eV/cell. As for the symmetry: P4/mmm, No. 123. The value obtained for the total energy is -20.4 eV for the cell shown.

abc: 4.108 5.144 5.144
angles: 90.00 90.00 90.00
Site moments in Bohr magnetons follow the coordinates.
Positions (direct):
K1 0.500 0.500 0.500  0.00
Te1 0.000 0.000 0.000  -0.03
S1 0.000 0.000 0.500  0.14
S2 0.000 0.500 0.000  0.14
N1 0.500 0.000 0.000  0.48



Record 8
Below is a relaxed structure of V2O5, with properties calculated at the GGA-PBEsol level.

Results
As for the total magnetization: 0.00 μB per atom. As for the symmetry: C2/m, No. 12. The value obtained for the total energy is -183.6 eV for the cell shown.

abc: 3.571 7.889 10.157
angles: 110.23 90.00 103.08
Positions (direct):
V1 0.118 0.236 0.615
V2 0.882 0.764 0.385
V3 0.289 0.579 0.913
V4 0.711 0.421 0.087
V5 0.339 0.679 0.610
V6 0.661 0.321 0.390
O1 0.183 0.366 0.444
O2 0.817 0.634 0.556
O3 0.114 0.227 0.769
O4 0.886 0.773 0.231
O5 0.244 0.488 0.074
O6 0.756 0.512 0.926
O7 0.364 0.727 0.426
O8 0.636 0.273 0.574
O9 0.267 0.533 0.722
O10 0.733 0.467 0.278
O11 0.398 0.797 0.977
O12 0.602 0.203 0.023
O13 0.441 0.883 0.721
O14 0.559 0.117 0.279
O15 0.000 0.000 0.500